Entry from the Open Quantum Materials Database: crystalline Ir2Au2O5 at its relaxed geometry (PBE).

Output
**DFT total energy**: -5.250 eV/atom
**Calculated density**: 11.78 Mg/m³
**Calculated volume**: 13.446 Å³/atom

Cell lengths 3.796, 3.796, 8.399 Å; angles 90.00, 90.00, 90.00 degrees
Space group P4/mmm (No. 123)
Unique sites:
Ir (0.000, 0.000, 0.242)
Au (0.500, 0.500, 0.000)
Au (0.500, 0.500, 0.500)
O (0.000, 0.000, 0.500)
O (0.000, 0.500, 0.220)